#A
{"formula": "Rb3C5", "functional": "GGA-PBE", "state": "relaxed", "n_ef_per_ev_cell": 6.8, "vol_a3_per_cell": 232.07, "lattice_angstrom": [[4.430, 0.000, 0.000], [0.000, 4.430, 0.000], [0.000, 0.000, 11.826]], "species": ["Rb", "Rb", "Rb", "C", "C", "C", "C", "C"], "fractional_positions": [[0.000, 0.000, 0.500], [0.500, 0.500, 0.806], [0.500, 0.500, 0.194], [0.000, 0.000, 0.000], [0.500, 0.500, 0.447], [0.000, 0.000, 0.889], [0.000, 0.000, 0.111], [0.500, 0.500, 0.553]]}


#B
{"formula": "Rb3C5", "functional": "GGA-PBE", "state": "relaxed", "n_ef_per_ev_cell": 7.6, "vol_a3_per_cell": 469.02, "lattice_angstrom": [[9.061, 0.872, 0.000], [-3.781, 8.483, 0.000], [0.000, 0.000, 5.851]], "species": ["C", "C", "C", "C", "C", "C", "C", "C", "C", "C", "Rb", "Rb", "Rb", "Rb", "Rb", "Rb"], "fractional_positions": [[0.685, 0.974, 0.750], [0.798, 0.431, 0.124], [0.318, 0.806, 0.250], [0.798, 0.431, 0.376], [0.306, 0.246, 0.750], [0.958, 0.724, 0.750], [0.684, 0.480, 0.250], [0.909, 0.378, 0.250], [0.323, 0.674, 0.129], [0.323, 0.674, 0.371], [0.584, 0.606, 0.750], [0.310, 0.354, 0.250], [0.981, 0.816, 0.250], [0.319, 0.904, 0.750], [0.636, 0.057, 0.250], [0.069, 0.445, 0.750]]}


Pick the most stable structure from those above. Pick: #A